# 1
The following is a DFT calculation (PBE) of ScFeTeI2 after structural relaxation.

## Properties
D(E_F), states/eV/cell: 9.6
Offset from the most stable computed form, meV per atom: 0
Formation energy (no corrections), eV/atom: 0.151

The structure in extended XYZ format:
```
5
Lattice="5.6731 0.0000 0.0000 0.0000 5.6731 0.0000 0.0000 0.0000 5.7114" Properties=species:S:1:pos:R:3 pbc="T T T"
Sc 0.0000 0.0000 0.0000
Fe 2.8365 2.8365 2.8557
Te 0.0000 0.0000 2.8557
I 0.0000 2.8365 0.0000
I 2.8365 0.0000 0.0000
```


# 2
The following is a DFT calculation (PBE) of Ca2PrUP4 after structural relaxation.

## Properties
D(E_F), states/eV/cell: 5.5
Energy of formation from the pure elements, eV per atom: -1.17

The structure in extended XYZ format:
```
8
Lattice="7.0752 0.0000 0.0000 0.0000 4.1261 0.0000 -2.3739 0.0000 6.7300" Properties=species:S:1:pos:R:3 pbc="T T T"
Ca 0.0000 0.0000 0.0000
Ca -1.1870 2.0630 3.3650
Pr 2.3507 0.0000 3.3650
U 3.5376 2.0630 0.0000
P 1.3239 2.0630 1.5742
P 0.0897 0.0000 5.1997
P 4.6116 0.0000 1.5303
P 3.3774 2.0630 5.1558
```


# 3
The following is a DFT calculation (PBE) of LiLa2Sc after structural relaxation.

## Properties
D(E_F), states/eV/cell: 3.7
Energy of formation from the pure elements, eV per atom: 0.13
Offset from the most stable computed form, meV per atom: 40

The structure in extended XYZ format:
```
4
Lattice="0.0000 3.9224 3.9224 3.9224 0.0000 3.9224 3.9224 3.9224 0.0000" Properties=species:S:1:pos:R:3 pbc="T T T"
Li 0.0000 0.0000 0.0000
La 1.9612 1.9612 1.9612
La 5.8837 5.8837 5.8837
Sc 3.9224 3.9224 3.9224
```


# 4
The following is a DFT calculation (PBE) of MgSbTe2 after structural relaxation.

## Properties
D(E_F), states/eV/cell: 3.2
Offset from the most stable computed form, meV per atom: 493
Formation energy (no corrections), eV/atom: 0.133

The structure in extended XYZ format:
```
4
Lattice="0.0000 3.7781 3.7781 3.7781 0.0000 3.7781 3.7781 3.7781 0.0000" Properties=species:S:1:pos:R:3 pbc="T T T"
Mg 0.0000 0.0000 0.0000
Sb 5.6672 5.6672 5.6672
Te 1.8891 1.8891 1.8891
Te 3.7781 3.7781 3.7781
```


# 5
The following is a DFT calculation (PBE) of LiSiOF2 after structural relaxation.

## Properties
D(E_F), states/eV/cell: 2.7
Offset from the most stable computed form, meV per atom: 766
Formation energy (no corrections), eV/atom: -1.239

The structure in extended XYZ format:
```
5
Lattice="3.4154 0.0000 0.0000 0.0000 3.4154 0.0000 0.0000 0.0000 4.0369" Properties=species:S:1:pos:R:3 pbc="T T T"
Li 0.0000 0.0000 0.0000
Si 1.7077 1.7077 2.0185
O 0.0000 0.0000 2.0185
F 0.0000 1.7077 0.0000
F 1.7077 0.0000 0.0000
```


# 6
The following is a DFT calculation (PBE) of Ti5Co3 after structural relaxation.

## Properties
D(E_F), states/eV/cell: 6.1
Energy of formation from the pure elements, eV per atom: -0.32

The structure in extended XYZ format:
```
8
Lattice="2.9948 0.0000 0.0000 0.0000 2.9948 0.0000 0.0000 0.0000 12.4853" Properties=species:S:1:pos:R:3 pbc="T T T"
Ti 0.0000 0.0000 0.0000
Ti 0.0000 0.0000 2.9506
Ti 0.0000 0.0000 9.5347
Ti 1.4974 1.4974 4.7546
Ti 1.4974 1.4974 7.7307
Co 0.0000 0.0000 6.2427
Co 1.4974 1.4974 1.4146
Co 1.4974 1.4974 11.0707
```


# 7
The following is a DFT calculation (PBE) of PaHgSe after structural relaxation.

## Properties
D(E_F), states/eV/cell: 3.3
Offset from the most stable computed form, meV per atom: 68
Formation energy (no corrections), eV/atom: -0.410

The structure in extended XYZ format:
```
3
Lattice="3.5126 0.0000 0.0000 -1.7563 3.0420 0.0000 0.0000 0.0000 7.1587" Properties=species:S:1:pos:R:3 pbc="T T T"
Pa 0.0000 0.0000 0.0000
Hg 1.7563 1.0140 2.6142
Se 0.0000 2.0280 5.1605
```


# 8
The following is a DFT calculation (PBE) of TbSm2Cu after structural relaxation.

## Properties
D(E_F), states/eV/cell: 5.9
Energy of formation from the pure elements, eV per atom: -0.06
Offset from the most stable computed form, meV per atom: 17

The structure in extended XYZ format:
```
4
Lattice="3.5840 0.0000 0.0000 0.0000 3.5840 0.0000 0.0000 0.0000 8.6307" Properties=species:S:1:pos:R:3 pbc="T T T"
Tb 0.0000 0.0000 0.0000
Sm 1.7920 1.7920 2.5889
Sm 1.7920 1.7920 6.0418
Cu 0.0000 0.0000 4.3153
```


# 9
The following is a DFT calculation (PBE) of Hg2TeBr after structural relaxation.

## Properties
D(E_F), states/eV/cell: 2.2
Offset from the most stable computed form, meV per atom: 163
Formation energy (no corrections), eV/atom: -0.093

The structure in extended XYZ format:
```
4
Lattice="6.0503 -2.8689 0.0000 6.0503 2.8689 0.0000 -1.0557 0.0000 3.4300" Properties=species:S:1:pos:R:3 pbc="T T T"
Hg 0.0000 0.0000 0.0000
Hg 2.5938 0.0000 0.7780
Te 8.3957 0.0000 2.6222
Br 5.1626 0.0000 1.5981
```


# 10
The following is a DFT calculation (PBE) of Tl2InBr3 after structural relaxation.

## Properties
D(E_F), states/eV/cell: 0.0
Offset from the most stable computed form, meV per atom: 19
Formation energy (no corrections), eV/atom: -0.759

The structure in extended XYZ format:
```
12
Lattice="8.5422 -4.8839 0.0000 8.5422 4.8839 0.0000 0.0000 0.0000 6.6932" Properties=species:S:1:pos:R:3 pbc="T T T"
Tl 5.7022 3.2454 3.3466
Tl 11.3822 3.2454 3.3466
Tl 5.7022 -3.2454 0.0000
Tl 11.3822 -3.2454 0.0000
In 8.5422 1.6352 0.0150
In 8.5422 -1.6352 3.3616
Br 5.7062 3.2363 6.6917
Br 11.3781 3.2363 6.6917
Br 8.5422 1.5838 3.3774
Br 8.5422 -1.5838 0.0308
Br 5.7062 -3.2363 3.3451
Br 11.3781 -3.2363 3.3451
```


# 11
The following is a DFT calculation (PBE) of CuNi2Se4 after structural relaxation.

## Properties
D(E_F), states/eV/cell: 19.7
Formation energy (no corrections), eV/atom: -0.262

The structure in extended XYZ format:
```
28
Lattice="6.2107 -3.5808 0.0000 6.2107 3.5808 0.0000 -4.1538 0.0000 11.7174" Properties=species:S:1:pos:R:3 pbc="T T T"
Cu 1.0290 1.7874 8.0562
Cu 5.1617 1.7874 9.5199
Cu 3.1060 -1.7874 2.1975
Cu 7.2386 -1.7874 3.6612
Ni 0.0000 0.0000 0.0000
Ni -2.0769 0.0000 5.8587
Ni 3.1054 1.7904 0.0000
Ni 5.1723 1.7926 2.9294
Ni 1.0285 -1.7904 5.8587
Ni 6.2107 0.0000 0.0000
Ni 4.1338 0.0000 5.8587
Ni 3.0954 -1.7926 8.7881
Se -2.1819 0.1670 10.3239
Se 1.0219 1.7901 10.4592
Se -0.1050 -0.1670 4.4652
Se 3.2943 1.7913 4.4618
Se 4.2398 0.1703 1.3942
Se 7.0503 1.7913 1.3969
Se 5.1688 1.7901 7.1169
Se 2.1629 -0.1703 7.2529
Se 6.1047 0.1703 4.4645
Se 3.0988 -1.7901 4.6005
Se 1.2174 -1.7913 10.3205
Se 4.0278 -0.1703 10.3232
Se 4.9734 -1.7913 7.2556
Se 8.3726 0.1670 7.2522
Se 7.2457 -1.7901 1.2582
Se 10.4495 -0.1670 1.3935
```


# 12
The following is a DFT calculation (PBE) of Ac2MgZnCo after structural relaxation.

## Properties
D(E_F), states/eV/cell: 11.1
Energy of formation from the pure elements, eV per atom: -0.12

The structure in extended XYZ format:
```
10
Lattice="8.2345 0.0000 0.0000 0.0000 4.1841 0.0000 -1.8932 0.0000 8.0561" Properties=species:S:1:pos:R:3 pbc="T T T"
Ac -0.0327 1.0460 2.6058
Ac 2.5367 3.1380 0.5198
Ac 3.8046 1.0460 7.5363
Ac 6.3741 3.1380 5.4503
Mg 2.2261 3.1380 4.8124
Mg 4.1153 1.0460 3.2436
Zn 0.6165 1.0460 6.0391
Zn 5.7248 3.1380 2.0169
Co -1.4159 1.0460 7.6640
Co 7.7573 3.1380 0.3920
```


# 13
The following is a DFT calculation (PBE) of CaNiPb2 after structural relaxation.

## Properties
D(E_F), states/eV/cell: 2.5
Energy of formation from the pure elements, eV per atom: -0.05

The structure in extended XYZ format:
```
4
Lattice="6.6927 -1.7862 0.0000 6.6927 1.7862 0.0000 -1.5405 0.0000 4.2747" Properties=species:S:1:pos:R:3 pbc="T T T"
Ca 0.0000 0.0000 0.0000
Ni 9.1585 0.0000 0.8946
Pb 1.4580 0.0000 2.9430
Pb 4.4274 0.0000 1.5962
```


# 14
The following is a DFT calculation (PBE) of Dy3TmRu4 after structural relaxation.

## Properties
D(E_F), states/eV/cell: 9.2
Energy of formation from the pure elements, eV per atom: -0.34

The structure in extended XYZ format:
```
8
Lattice="4.7849 0.0000 0.0000 0.0000 4.7849 0.0000 0.0000 0.0000 6.7893" Properties=species:S:1:pos:R:3 pbc="T T T"
Dy 0.0000 0.0000 0.0000
Dy 0.0000 0.0000 3.3946
Dy 2.3924 2.3924 0.0000
Tm 2.3924 2.3924 3.3946
Ru 0.0000 2.3924 1.7069
Ru 0.0000 2.3924 5.0824
Ru 2.3924 0.0000 1.7069
Ru 2.3924 0.0000 5.0824
```


# 15
The following is a DFT calculation (PBE) of Hf2Ti3Zn2 after structural relaxation.

## Properties
D(E_F), states/eV/cell: 3.5
Energy of formation from the pure elements, eV per atom: -0.06

The structure in extended XYZ format:
```
7
Lattice="1.5188 -13.8919 0.0000 1.5188 13.8919 0.0000 0.0000 0.0000 3.0261" Properties=species:S:1:pos:R:3 pbc="T T T"
Hf 1.5188 8.4340 0.0000
Hf 1.5188 -8.4340 0.0000
Ti 1.5188 3.4733 1.5130
Ti 1.5188 0.0000 1.5130
Ti 1.5188 -3.4733 1.5130
Zn 1.5188 12.1895 0.0000
Zn 1.5188 -12.1895 0.0000
```